1.
A plane-wave DFT calculation with PBE was carried out for YErLuSc after structural relaxation.

Cell: 7.7743 7.7743 7.7743 Å, 90.00 90.00 90.00°
Closest atoms and distances in Å follow each position.
Space group F-43m (No. 216)
Symmetry-distinct sites (fractional):
Y 0.0000 0.0000 0.0000 x4  4 Lu 3.37, 4 Sc 3.37
Er 0.0000 0.0000 0.5000 x4  4 Sc 3.37, 4 Lu 3.37
Lu 0.2500 0.2500 0.2500 x4  4 Er 3.37, 4 Y 3.37
Sc 0.2500 0.2500 0.7500 x4  4 Er 3.37, 4 Y 3.37

DFT formation energy (kJ/mol of formula units): 46
Total moment (μB/f.u.): 0.0



2.
A plane-wave DFT calculation with PBE was carried out for TaOsSe2 after structural relaxation.

Cell: 3.0644 5.5564 8.3417 Å, 90.00 90.00 90.00°
Closest atoms and distances in Å follow each position.
Space group Cmmm (No. 65)
Symmetry-distinct sites (fractional):
Ta 0.0000 0.0000 0.0000 x2  4 Se 2.64
Os 0.0000 0.0000 0.5000 x2  4 Se 2.53
Se 0.0000 0.5000 0.2584 x4  2 Os 2.53, 2 Ta 2.64

Offset from the most stable computed form (kJ/mol of formula units): 334.3
Total moment (μB/f.u.): 0.0



3.
A plane-wave DFT calculation with PBE was carried out for CuTc2Sb after structural relaxation.

Cell: 4.3826 4.3826 3.1911 Å, 90.00 90.00 90.00°
Closest atoms and distances in Å follow each position.
Space group P4/mmm (No. 123)
Symmetry-distinct sites (fractional):
Cu 0.0000 0.0000 0.0000 x1  8 Tc 2.71
Tc 0.0000 0.5000 0.5000 x2  4 Sb 2.71, 4 Cu 2.71
Sb 0.5000 0.5000 0.0000 x1  8 Tc 2.71

Total moment (μB/f.u.): 0.0



4.
A plane-wave DFT calculation with PBE was carried out for AcTlAgBi after structural relaxation.

Cell: 7.8421 7.8421 7.8421 Å, 90.00 90.00 90.00°
Closest atoms and distances in Å follow each position.
Space group F-43m (No. 216)
Symmetry-distinct sites (fractional):
Ac 0.0000 0.0000 0.0000 x4  4 Tl 3.40, 4 Ag 3.40
Tl 0.2500 0.2500 0.7500 x4  4 Ac 3.40, 4 Bi 3.40
Ag 0.2500 0.2500 0.2500 x4  4 Ac 3.40, 4 Bi 3.40
Bi 0.0000 0.0000 0.5000 x4  4 Tl 3.40, 4 Ag 3.40

DFT formation energy (kJ/mol of formula units): -100
Total moment (μB/f.u.): 0.0



5.
A plane-wave DFT calculation with PBE was carried out for NdTeAu4 after structural relaxation.

Cell: 8.0845 8.0845 8.0845 Å, 90.00 90.00 90.00°
Closest atoms and distances in Å follow each position.
Space group F-43m (No. 216)
Symmetry-distinct sites (fractional):
Nd 0.0000 0.0000 0.0000 x4  12 Au 3.35, 4 Te 3.50
Te 0.2500 0.2500 0.2500 x4  12 Au 3.35, 4 Nd 3.50
Au 0.1251 0.1251 0.6251 x16  6 Au 2.86

Total moment (μB/f.u.): 0.0



6.
A plane-wave DFT calculation with PBE was carried out for TaB2Mo2 after structural relaxation.

Cell: 6.1234 6.1234 3.1891 Å, 90.00 90.00 90.00°
Closest atoms and distances in Å follow each position.
Space group P4/mbm (No. 127)
Symmetry-distinct sites (fractional):
Ta 0.0000 0.0000 0.0000 x2  4 B 2.48, 8 Mo 2.77
B 0.1101 0.3899 0.0000 x4  1 B 1.91
Mo 0.1738 0.6738 0.5000 x4  6 B 2.39-2.46

DFT formation energy (kJ/mol of formula units): -223
Offset from the most stable computed form (kJ/mol of formula units): 0.0
Total moment (μB/f.u.): 0.0



no.,total energy (eV/cell)
1,-85.62
2,-54.44
3,-27.78
4,-56.97
5,-94.70
6,-98.35